Entry 1:
The following is a DFT calculation (GGA-PBE) of a relaxed structure of EuPd2Au.

Values from the calculation:
**Formation energy from the elements**: -505 meV/atom
**Spin magnetization**: 27.7 Bohr magnetons per cell
**Energy above the most stable polymorph in this dataset**: 82.9 meV per atom

Cell: 6.788 6.788 6.788 Å, 90.00 90.00 90.00°
Space group Fm-3m (No. 225)
One atom of each set of equivalent atoms:
Eu1 0.000 0.000 0.000 x4
Pd1 0.250 0.250 0.250 x8
Au1 0.000 0.000 0.500 x4

***

Entry 2:
The following is a DFT calculation (GGA-PBE) of a relaxed structure of EuPdAu.

Values from the calculation:
**Formation energy from the elements**: -658 meV/atom
**Spin magnetization**: 6.9 Bohr magnetons per cell
**Energy above the most stable polymorph in this dataset**: 0.0 meV per atom

Cell: 4.6527 4.6527 3.7674 Å, 90.00 90.00 120.00°
Space group P-6m2 (No. 187)
One atom of each set of equivalent atoms:
Eu1 0.0000 0.0000 0.0000 x1
Pd1 0.6667 0.3333 0.5000 x1
Au1 0.3333 0.6667 0.5000 x1

***

Entry 3:
The following is a DFT calculation (GGA-PBE) of a relaxed structure of EuPd4Au.

Values from the calculation:
**Formation energy from the elements**: -399 meV/atom
**Spin magnetization**: 25.1 Bohr magnetons per cell

Cell: 7.625 7.625 7.625 Å, 90.00 90.00 90.00°
Space group F-43m (No. 216)
One atom of each set of equivalent atoms:
Eu1 0.000 0.000 0.000 x4
Pd1 0.125 0.125 0.625 x16
Au1 0.250 0.250 0.250 x4

***

Entry 4:
The following is a DFT calculation (GGA-PBE) of a relaxed structure of EuPd2Au.

Values from the calculation:
**Formation energy from the elements**: -588 meV/atom
**Spin magnetization**: 6.7 Bohr magnetons per cell
**Energy above the most stable polymorph in this dataset**: 0.0 meV per atom

Cell: 4.350 4.350 4.034 Å, 90.00 90.00 90.00°
Space group P4/mmm (No. 123)
One atom of each set of equivalent atoms:
Eu1 0.000 0.000 0.000 x1
Pd1 0.000 0.500 0.500 x2
Au1 0.500 0.500 0.000 x1